1.
! HgRuAu2 PBE-GGA optimized geometry; values from VASP
! - SG = P4/mmm, No. 123
! - uncorrected energy (eV/atom) = -3.648
! - density (g/cm³) = 16.21
&SYSTEM
  ibrav = 0, nat = 4, ntyp = 3
/
ATOMIC_SPECIES
Hg 200.59 Hg.upf
Ru 101.07 Ru.upf
Au 196.97 Au.upf
CELL_PARAMETERS angstrom
4.079 0.000 0.000
0.000 4.079 0.000
0.000 0.000 4.282
ATOMIC_POSITIONS crystal
Hg 0.000 0.000 0.000
Ru 0.500 0.500 0.000
Au 0.000 0.500 0.500
Au 0.500 0.000 0.500

2.
! HgRu2Au PBE-GGA optimized geometry; values from VASP
! - SG = F-43m, No. 216
! - uncorrected energy (eV/atom) = -4.870
! - density (g/cm³) = 14.83
&SYSTEM
  ibrav = 0, nat = 4, ntyp = 3
/
ATOMIC_SPECIES
Hg 200.59 Hg.upf
Ru 101.07 Ru.upf
Au 196.97 Au.upf
CELL_PARAMETERS angstrom
0.000 3.226 3.226
3.226 0.000 3.226
3.226 3.226 0.000
ATOMIC_POSITIONS crystal
Hg 0.000 0.000 0.000
Ru 0.250 0.250 0.250
Ru 0.500 0.500 0.500
Au 0.750 0.750 0.750

3.
! Hg3RuAu PBE-GGA optimized geometry; values from VASP
! - SG = Pm-3m, No. 221
! - excess energy over the best structure of this formula in the dataset (meV/atom) = 292
! - uncorrected energy (eV/atom) = -1.589
! - density (g/cm³) = 10.29
&SYSTEM
  ibrav = 0, nat = 5, ntyp = 3
/
ATOMIC_SPECIES
Hg 200.59 Hg.upf
Ru 101.07 Ru.upf
Au 196.97 Au.upf
CELL_PARAMETERS angstrom
5.255 0.000 0.000
0.000 5.255 0.000
0.000 0.000 5.255
ATOMIC_POSITIONS crystal
Hg 0.000 0.000 0.500
Hg 0.000 0.500 0.000
Hg 0.500 0.000 0.000
Ru 0.500 0.500 0.500
Au 0.000 0.000 0.000

4.
! HgRuAu2 PBE-GGA optimized geometry; values from VASP
! - SG = Pmm2, No. 25
! - uncorrected energy (eV/atom) = -3.663
! - density (g/cm³) = 16.12
&SYSTEM
  ibrav = 0, nat = 4, ntyp = 3
/
ATOMIC_SPECIES
Hg 200.59 Hg.upf
Ru 101.07 Ru.upf
Au 196.97 Au.upf
CELL_PARAMETERS angstrom
2.969 0.000 0.000
0.000 3.955 0.000
0.000 0.000 6.103
ATOMIC_POSITIONS crystal
Hg 0.000 0.000 0.000
Ru 0.500 0.500 0.246
Au 0.000 0.000 0.479
Au 0.500 0.500 0.731

5.
! Hg2RuAu PBE-GGA optimized geometry; values from VASP
! - SG = I-42d, No. 122
! - excess energy over the best structure of this formula in the dataset (meV/atom) = 254
! - uncorrected energy (eV/atom) = -2.669
! - density (g/cm³) = 13.99
&SYSTEM
  ibrav = 0, nat = 8, ntyp = 3
/
ATOMIC_SPECIES
Hg 200.59 Hg.upf
Ru 101.07 Ru.upf
Au 196.97 Au.upf
CELL_PARAMETERS angstrom
-2.054 2.054 9.841
2.054 -2.054 9.841
2.054 2.054 -9.841
ATOMIC_POSITIONS crystal
Hg 0.117 0.625 0.992
Hg 0.375 0.367 0.492
Hg 0.633 0.125 0.008
Hg 0.875 0.883 0.508
Ru 0.000 0.000 0.000
Ru 0.750 0.250 0.500
Au 0.250 0.750 0.500
Au 0.500 0.500 0.000

6.
! HgRu2Au PBE-GGA optimized geometry; values from VASP
! - SG = P4mm, No. 99
! - uncorrected energy (eV/atom) = -5.295
! - density (g/cm³) = 14.81
&SYSTEM
  ibrav = 0, nat = 4, ntyp = 3
/
ATOMIC_SPECIES
Hg 200.59 Hg.upf
Ru 101.07 Ru.upf
Au 196.97 Au.upf
CELL_PARAMETERS angstrom
2.858 0.000 0.000
0.000 2.858 0.000
0.000 0.000 8.233
ATOMIC_POSITIONS crystal
Hg 0.000 0.000 0.000
Ru 0.000 0.000 0.457
Ru 0.500 0.500 0.264
Au 0.500 0.500 0.711

7.
! HgRu2Au PBE-GGA optimized geometry; values from VASP
! - SG = I-4m2, No. 119
! - uncorrected energy (eV/atom) = -5.001
! - density (g/cm³) = 15.15
&SYSTEM
  ibrav = 0, nat = 4, ntyp = 3
/
ATOMIC_SPECIES
Hg 200.59 Hg.upf
Ru 101.07 Ru.upf
Au 196.97 Au.upf
CELL_PARAMETERS angstrom
-2.020 2.020 4.026
2.020 -2.020 4.026
2.020 2.020 -4.026
ATOMIC_POSITIONS crystal
Hg 0.000 0.000 0.000
Ru 0.250 0.750 0.500
Ru 0.500 0.500 0.000
Au 0.750 0.250 0.500

8.
! HgRu2Au PBE-GGA optimized geometry; values from VASP
! - SG = P4/mmm, No. 123
! - uncorrected energy (eV/atom) = -4.867
! - density (g/cm³) = 14.90
&SYSTEM
  ibrav = 0, nat = 4, ntyp = 3
/
ATOMIC_SPECIES
Hg 200.59 Hg.upf
Ru 101.07 Ru.upf
Au 196.97 Au.upf
CELL_PARAMETERS angstrom
3.254 0.000 0.000
0.000 3.254 0.000
0.000 0.000 6.313
ATOMIC_POSITIONS crystal
Hg 0.000 0.000 0.000
Ru 0.500 0.500 0.268
Ru 0.500 0.500 0.732
Au 0.000 0.000 0.500

9.
! HgRuAu2 PBE-GGA optimized geometry; values from VASP
! - SG = P4mm, No. 99
! - uncorrected energy (eV/atom) = -3.699
! - density (g/cm³) = 16.07
&SYSTEM
  ibrav = 0, nat = 4, ntyp = 3
/
ATOMIC_SPECIES
Hg 200.59 Hg.upf
Ru 101.07 Ru.upf
Au 196.97 Au.upf
CELL_PARAMETERS angstrom
2.956 0.000 0.000
0.000 2.956 0.000
0.000 0.000 8.225
ATOMIC_POSITIONS crystal
Hg 0.000 0.000 0.000
Ru 0.500 0.500 0.245
Au 0.000 0.000 0.473
Au 0.500 0.500 0.727

10.
! HgRuAu3 PBE-GGA optimized geometry; values from VASP
! - SG = Pm-3m, No. 221
! - excess energy over the best structure of this formula in the dataset (meV/atom) = 0
! - uncorrected energy (eV/atom) = -2.889
! - density (g/cm³) = 11.30
&SYSTEM
  ibrav = 0, nat = 5, ntyp = 3
/
ATOMIC_SPECIES
Hg 200.59 Hg.upf
Ru 101.07 Ru.upf
Au 196.97 Au.upf
CELL_PARAMETERS angstrom
5.081 0.000 0.000
0.000 5.081 0.000
0.000 0.000 5.081
ATOMIC_POSITIONS crystal
Hg 0.000 0.000 0.000
Ru 0.500 0.500 0.500
Au 0.000 0.500 0.500
Au 0.500 0.000 0.500
Au 0.500 0.500 0.000

11.
! HgRu2Au PBE-GGA optimized geometry; values from VASP
! - SG = Pm, No. 6
! - uncorrected energy (eV/atom) = -5.028
! - density (g/cm³) = 14.58
&SYSTEM
  ibrav = 0, nat = 4, ntyp = 3
/
ATOMIC_SPECIES
Hg 200.59 Hg.upf
Ru 101.07 Ru.upf
Au 196.97 Au.upf
CELL_PARAMETERS angstrom
2.857 0.000 0.000
0.000 4.288 0.000
-1.423 0.000 5.574
ATOMIC_POSITIONS crystal
Hg 0.000 0.000 0.000
Ru 0.634 0.500 0.268
Ru 0.735 0.000 0.472
Au 0.361 0.500 0.727

12.
! HgRuAu2 PBE-GGA optimized geometry; values from VASP
! - SG = Imm2, No. 44
! - uncorrected energy (eV/atom) = -3.625
! - density (g/cm³) = 16.05
&SYSTEM
  ibrav = 0, nat = 4, ntyp = 3
/
ATOMIC_SPECIES
Hg 200.59 Hg.upf
Ru 101.07 Ru.upf
Au 196.97 Au.upf
CELL_PARAMETERS angstrom
-1.447 2.498 4.977
1.447 -2.498 4.977
1.447 2.498 -4.977
ATOMIC_POSITIONS crystal
Hg 0.000 0.000 0.000
Ru 0.245 0.745 0.500
Au 0.484 0.484 0.000
Au 0.739 0.239 0.500

13.
! HgRuAu2 PBE-GGA optimized geometry; values from VASP
! - SG = Cm, No. 8
! - uncorrected energy (eV/atom) = -3.645
! - density (g/cm³) = 16.12
&SYSTEM
  ibrav = 0, nat = 4, ntyp = 3
/
ATOMIC_SPECIES
Hg 200.59 Hg.upf
Ru 101.07 Ru.upf
Au 196.97 Au.upf
CELL_PARAMETERS angstrom
4.730 -1.466 0.000
4.730 1.466 0.000
-0.848 0.000 5.164
ATOMIC_POSITIONS crystal
Hg 0.000 0.000 0.000
Ru 0.252 0.252 0.754
Au 0.509 0.509 0.517
Au 0.756 0.756 0.266

14.
! HgRu2Au PBE-GGA optimized geometry; values from VASP
! - SG = R3m, No. 160
! - uncorrected energy (eV/atom) = -5.220
! - density (g/cm³) = 14.74
&SYSTEM
  ibrav = 0, nat = 4, ntyp = 3
/
ATOMIC_SPECIES
Hg 200.59 Hg.upf
Ru 101.07 Ru.upf
Au 196.97 Au.upf
CELL_PARAMETERS angstrom
1.429 0.825 9.554
-1.429 0.825 9.554
0.000 -1.650 9.554
ATOMIC_POSITIONS crystal
Hg 0.000 0.000 0.000
Ru 0.246 0.246 0.246
Ru 0.511 0.511 0.511
Au 0.761 0.761 0.761

15.
! HgRuAu PBE-GGA optimized geometry; values from VASP
! - SG = F-43m, No. 216
! - excess energy over the best structure of this formula in the dataset (meV/atom) = 286
! - uncorrected energy (eV/atom) = -3.553
! - density (g/cm³) = 13.08
&SYSTEM
  ibrav = 0, nat = 3, ntyp = 3
/
ATOMIC_SPECIES
Hg 200.59 Hg.upf
Ru 101.07 Ru.upf
Au 196.97 Au.upf
CELL_PARAMETERS angstrom
0.000 3.164 3.164
3.164 0.000 3.164
3.164 3.164 0.000
ATOMIC_POSITIONS crystal
Hg 0.000 0.000 0.000
Ru 0.250 0.250 0.250
Au 0.500 0.500 0.500

16.
! HgRu2Au PBE-GGA optimized geometry; values from VASP
! - SG = Imm2, No. 44
! - uncorrected energy (eV/atom) = -5.001
! - density (g/cm³) = 14.62
&SYSTEM
  ibrav = 0, nat = 4, ntyp = 3
/
ATOMIC_SPECIES
Hg 200.59 Hg.upf
Ru 101.07 Ru.upf
Au 196.97 Au.upf
CELL_PARAMETERS angstrom
-1.435 2.410 4.925
1.435 -2.410 4.925
1.435 2.410 -4.925
ATOMIC_POSITIONS crystal
Hg 0.000 0.000 0.000
Ru 0.260 0.760 0.500
Ru 0.469 0.469 0.000
Au 0.727 0.227 0.500

17.
! Hg2RuAu PBE-GGA optimized geometry; values from VASP
! - SG = Fm-3m, No. 225
! - excess energy over the best structure of this formula in the dataset (meV/atom) = 89
! - uncorrected energy (eV/atom) = -2.833
! - density (g/cm³) = 15.70
&SYSTEM
  ibrav = 0, nat = 4, ntyp = 3
/
ATOMIC_SPECIES
Hg 200.59 Hg.upf
Ru 101.07 Ru.upf
Au 196.97 Au.upf
CELL_PARAMETERS angstrom
0.000 3.332 3.332
3.332 0.000 3.332
3.332 3.332 0.000
ATOMIC_POSITIONS crystal
Hg 0.250 0.250 0.250
Hg 0.750 0.750 0.750
Ru 0.000 0.000 0.000
Au 0.500 0.500 0.500

18.
! Hg2RuAu PBE-GGA optimized geometry; values from VASP
! - SG = I4/mmm, No. 139
! - excess energy over the best structure of this formula in the dataset (meV/atom) = 83
! - uncorrected energy (eV/atom) = -2.839
! - density (g/cm³) = 15.66
&SYSTEM
  ibrav = 0, nat = 4, ntyp = 3
/
ATOMIC_SPECIES
Hg 200.59 Hg.upf
Ru 101.07 Ru.upf
Au 196.97 Au.upf
CELL_PARAMETERS angstrom
-2.175 2.175 3.918
2.175 -2.175 3.918
2.175 2.175 -3.918
ATOMIC_POSITIONS crystal
Hg 0.250 0.750 0.500
Hg 0.750 0.250 0.500
Ru 0.000 0.000 0.000
Au 0.500 0.500 0.000

19.
! HgRuAu2 PBE-GGA optimized geometry; values from VASP
! - SG = I-42d, No. 122
! - uncorrected energy (eV/atom) = -3.425
! - density (g/cm³) = 14.78
&SYSTEM
  ibrav = 0, nat = 8, ntyp = 3
/
ATOMIC_SPECIES
Hg 200.59 Hg.upf
Ru 101.07 Ru.upf
Au 196.97 Au.upf
CELL_PARAMETERS angstrom
-1.975 1.975 10.015
1.975 -1.975 10.015
1.975 1.975 -10.015
ATOMIC_POSITIONS crystal
Hg 0.000 0.000 0.000
Hg 0.750 0.250 0.500
Ru 0.250 0.750 0.500
Ru 0.500 0.500 0.000
Au 0.132 0.625 0.007
Au 0.375 0.382 0.507
Au 0.618 0.125 0.993
Au 0.875 0.868 0.493

20.
! Hg2RuAu PBE-GGA optimized geometry; values from VASP
! - SG = R-3m, No. 166
! - excess energy over the best structure of this formula in the dataset (meV/atom) = 28
! - uncorrected energy (eV/atom) = -2.894
! - density (g/cm³) = 15.51
&SYSTEM
  ibrav = 0, nat = 4, ntyp = 3
/
ATOMIC_SPECIES
Hg 200.59 Hg.upf
Ru 101.07 Ru.upf
Au 196.97 Au.upf
CELL_PARAMETERS angstrom
1.508 0.871 9.504
-1.508 0.871 9.504
0.000 -1.741 9.504
ATOMIC_POSITIONS crystal
Hg 0.247 0.247 0.247
Hg 0.753 0.753 0.753
Ru 0.500 0.500 0.500
Au 0.000 0.000 0.000

Calculated formation energy / eV per atom: 0.3850; 0.6622; 1.1029; 0.3704; 0.6203; 0.2380; 0.5320; 0.6655; 0.3345; 0.9927; 0.5047; 0.4086; 0.3884; 0.3130; 0.7315; 0.5313; 0.4561; 0.4498; 0.6084; 0.3950